# 1
A plane-wave DFT calculation with PBE was carried out for crystalline KCrTe at its relaxed geometry.

Computed properties:
Theoretical density   3.97 g/cm³
ΔE_f (raw)   0.013 eV/atom
Offset from the most stable computed form   20.9 kJ/mol of atoms
V   365.4 Å³ per cell

```
data_KCrTe
_chemical_formula_sum 'K4 Cr4 Te4'
_cell_length_a 7.149
_cell_length_b 7.149
_cell_length_c 7.149
_cell_angle_alpha 90.00
_cell_angle_beta 90.00
_cell_angle_gamma 90.00
_symmetry_space_group_name_H-M 'F -4 3 m'
_symmetry_Int_Tables_number 216
_symmetry_space_group_name_Hall 'F -4 2 3'
loop_
_atom_site_label
_atom_site_type_symbol
_atom_site_fract_x
_atom_site_fract_y
_atom_site_fract_z
K1 K 0.000 0.000 0.000
Cr1 Cr 0.250 0.250 0.250
Te1 Te 0.000 0.000 0.500
```

***

# 2
A plane-wave DFT calculation with PBE was carried out for crystalline K2CrTe at its relaxed geometry.

Computed properties:
Theoretical density   3.17 g/cm³
ΔE_f (raw)   0.112 eV/atom
V   540.0 Å³ per cell

```
data_K2CrTe
_chemical_formula_sum 'K8 Cr4 Te4'
_cell_length_a 8.143
_cell_length_b 8.143
_cell_length_c 8.143
_cell_angle_alpha 90.00
_cell_angle_beta 90.00
_cell_angle_gamma 90.00
_symmetry_space_group_name_H-M 'F -4 3 m'
_symmetry_Int_Tables_number 216
_symmetry_space_group_name_Hall 'F -4 2 3'
loop_
_atom_site_label
_atom_site_type_symbol
_atom_site_fract_x
_atom_site_fract_y
_atom_site_fract_z
K1 K 0.000 0.000 0.000
K2 K 0.250 0.250 0.250
Cr1 Cr 0.250 0.250 0.750
Te1 Te 0.000 0.000 0.500
```